No. 1
Nb5Mo2H12 | GGA-PBE | relaxed

Properties
The calculation puts the density of states at the Fermi level at 0.285 states/eV/atom. Its energy is -113.21 eV/cell. Its mass density is 6.8 Mg/m³.

abc: 5.7157 5.7157 6.1776
angles: 101.23 101.23 55.92
Closest atoms and distances in Å follow each position.
Atoms (fractional coordinates):
Nb (0.0000, 0.0000, 0.0000)  6 H 2.00-2.03
Nb (0.2804, 0.2804, 0.6735)  7 H 1.90-2.09
Nb (0.3103, 0.3103, 0.1272)  7 H 1.98-2.03
Nb (0.6897, 0.6897, 0.8728)  7 H 1.98-2.03
Nb (0.7196, 0.7196, 0.3265)  7 H 1.90-2.09
Mo (0.2429, 0.7571, 0.5000)  6 H 1.87-1.94
Mo (0.7571, 0.2429, 0.5000)  6 H 1.87-1.94
H (0.0649, 0.0649, 0.3310)  2 Mo 1.87, 1 Nb 2.00
H (0.0920, 0.5986, 0.9125)  4 Nb 1.98-2.03
H (0.1193, 0.5082, 0.4033)  1 Mo 1.87, 3 Nb 1.90-2.06, 2 H 2.03-2.08
H (0.4014, 0.9080, 0.0875)  4 Nb 1.98-2.03
H (0.4915, 0.4915, 0.7166)  2 Mo 1.94, 2 Nb 2.02-2.09
H (0.4918, 0.8807, 0.5967)  1 Mo 1.87, 3 Nb 1.90-2.06, 2 H 2.03-2.08
H (0.5082, 0.1193, 0.4033)  1 Mo 1.87, 3 Nb 1.90-2.06, 2 H 2.03-2.08
H (0.5085, 0.5085, 0.2834)  2 Mo 1.94, 2 Nb 2.02-2.09
H (0.5986, 0.0920, 0.9125)  4 Nb 1.98-2.03
H (0.8807, 0.4918, 0.5967)  1 Mo 1.87, 3 Nb 1.90-2.06, 2 H 2.03-2.08
H (0.9080, 0.4014, 0.0875)  4 Nb 1.98-2.03
H (0.9351, 0.9351, 0.6690)  2 Mo 1.87, 1 Nb 2.00

***

No. 2
NbMo2H2 | GGA-PBE | relaxed

Properties
The calculation puts the energy relative to the lowest polymorph listed for this composition at 0.0000 eV per atom. The calculation puts the density of states at the Fermi level at 0.632 states/eV/atom. Its mass density is 8.6 Mg/m³.

abc: 5.5638 5.5638 5.5638
angles: 145.36 145.36 49.80
Closest atoms and distances in Å follow each position.
Atoms (fractional coordinates):
Nb (0.0000, 0.0000, 0.0000)  8 Mo 2.81, 8 H 3.02
Mo (0.3454, 0.3454, 0.0000)  4 H 1.92
Mo (0.6546, 0.6546, 0.0000)  4 H 1.92
H (0.2500, 0.7500, 0.5000)  4 Mo 1.92
H (0.7500, 0.2500, 0.5000)  4 Mo 1.92

***

No. 3
Nb2MoH2 | GGA-PBE | relaxed

Properties
The calculation puts the energy relative to the lowest polymorph listed for this composition at 0.0453 eV per atom. The calculation puts the density of states at the Fermi level at 0.352 states/eV/atom. Its mass density is 8.1 Mg/m³.

abc: 4.7655 5.5845 5.5980
angles: 95.65 115.07 114.52
Closest atoms and distances in Å follow each position.
Atoms (fractional coordinates):
Nb (0.0936, 0.2574, 0.4080)  4 H 1.94-2.00
Nb (0.2546, 0.7616, 0.2418)  2 H 1.92-1.93
Nb (0.7454, 0.2384, 0.7582)  2 H 1.92-1.93
Nb (0.9064, 0.7426, 0.5920)  4 H 1.94-2.00
Mo (0.4012, 0.2414, 0.0895)  2 H 1.84-1.87
Mo (0.5988, 0.7586, 0.9105)  2 H 1.84-1.87
H (0.1139, 0.4992, 0.7056)  1 Mo 1.84, 3 Nb 1.92-2.00
H (0.2810, 0.1276, 0.7169)  1 Mo 1.87, 3 Nb 1.93-1.95
H (0.7190, 0.8724, 0.2831)  1 Mo 1.87, 3 Nb 1.93-1.95
H (0.8861, 0.5008, 0.2944)  1 Mo 1.84, 3 Nb 1.92-2.00

***

No. 4
Nb2MoH | GGA-PBE | relaxed

Properties
The calculation puts the energy relative to the lowest polymorph listed for this composition at 0.2176 eV per atom. The calculation puts the density of states at the Fermi level at 0.857 states/eV/atom. Its mass density is 8.1 Mg/m³.

abc: 5.3309 5.3309 5.3309
angles: 111.28 111.28 105.92
Closest atoms and distances in Å follow each position.
Atoms (fractional coordinates):
Nb (0.0419, 0.6250, 0.9169)  2 H 1.98
Nb (0.3750, 0.2919, 0.4169)  2 H 1.98
Nb (0.7081, 0.1250, 0.0831)  2 H 1.98
Nb (0.8750, 0.9581, 0.5831)  2 H 1.98
Mo (0.2500, 0.7500, 0.5000)  4 Nb 2.63
Mo (0.5000, 0.5000, 0.0000)  4 Nb 2.63
H (0.0000, 0.0000, 0.0000)  4 Nb 1.98
H (0.7500, 0.2500, 0.5000)  4 Nb 1.98

***

No. 5
NbMo2H2 | GGA-PBE | relaxed

Properties
The calculation puts the energy relative to the lowest polymorph listed for this composition at 0.2614 eV per atom. The calculation puts the density of states at the Fermi level at 0.640 states/eV/atom. Its mass density is 8.2 Mg/m³.

abc: 6.0029 6.0029 3.2357
angles: 90.00 90.00 90.00
Closest atoms and distances in Å follow each position.
Atoms (fractional coordinates):
Nb (0.0000, 0.0000, 0.0000)  4 H 2.13
Nb (0.5000, 0.5000, 0.0000)  4 H 2.13
Mo (0.1508, 0.3492, 0.5000)  2 H 1.90
Mo (0.3492, 0.8492, 0.5000)  2 H 1.90
Mo (0.6508, 0.1508, 0.5000)  2 H 1.90
Mo (0.8492, 0.6508, 0.5000)  2 H 1.90
H (0.2328, 0.7328, 0.0000)  2 Mo 1.90
H (0.2672, 0.2328, 0.0000)  2 Mo 1.90
H (0.7328, 0.7672, 0.0000)  2 Mo 1.90
H (0.7672, 0.2672, 0.0000)  2 Mo 1.90

***

No. 6
NbMo3H | GGA-PBE | relaxed

Properties
The calculation puts the energy relative to the lowest polymorph listed for this composition at 0.0000 eV per atom. The calculation puts the density of states at the Fermi level at 0.870 states/eV/atom. Its mass density is 9.2 Mg/m³.

abc: 4.0947 4.0947 4.0947
angles: 90.00 90.00 90.00
Closest atoms and distances in Å follow each position.
Atoms (fractional coordinates):
Nb (0.0000, 0.0000, 0.0000)  12 Mo 2.90
Mo (0.0000, 0.5000, 0.5000)  2 H 2.05
Mo (0.5000, 0.0000, 0.5000)  2 H 2.05
Mo (0.5000, 0.5000, 0.0000)  2 H 2.05
H (0.5000, 0.5000, 0.5000)  6 Mo 2.05